{
  "formula": "TiAu2C",
  "functional": "PBE-GGA",
  "state": "relaxed",
  "energy_ev_per_atom": -4.9344,
  "space_group": "I-42d (122)",
  "ef_ev_per_atom": 0.984,
  "lattice_angstrom": [[-2.374, 2.374, 6.513], [2.374, -2.374, 6.513], [2.374, 2.374, -6.513]],
  "species": ["Ti", "Ti", "Au", "Au", "Au", "Au", "C", "C"],
  "fractional_positions": [[0.000, 0.000, 0.000], [0.750, 0.250, 0.500], [0.227, 0.625, 0.102], [0.375, 0.477, 0.602], [0.523, 0.125, 0.898], [0.875, 0.773, 0.398], [0.250, 0.750, 0.500], [0.500, 0.500, 0.000]]
}

{
  "formula": "Ti4AuC",
  "functional": "PBE-GGA",
  "state": "relaxed",
  "energy_ev_per_atom": -7.5858,
  "space_group": "P2_1/c (14)",
  "ef_ev_per_atom": -0.239,
  "lattice_angstrom": [[6.794, 0.000, 0.000], [0.000, 5.345, 0.000], [-0.712, 0.000, 5.209]],
  "species": ["Ti", "Ti", "Ti", "Ti", "Ti", "Ti", "Ti", "Ti", "Au", "Au", "C", "C"],
  "fractional_positions": [[0.101, 0.139, 0.363], [0.101, 0.361, 0.863], [0.283, 0.593, 0.423], [0.283, 0.907, 0.923], [0.717, 0.093, 0.077], [0.717, 0.407, 0.577], [0.899, 0.639, 0.137], [0.899, 0.861, 0.637], [0.500, 0.000, 0.500], [0.500, 0.500, 0.000], [0.000, 0.000, 0.000], [0.000, 0.500, 0.500]]
}

Repeat the first record exactly.
{
  "formula": "TiAu2C",
  "functional": "PBE-GGA",
  "state": "relaxed",
  "energy_ev_per_atom": -4.9344,
  "space_group": "I-42d (122)",
  "ef_ev_per_atom": 0.984,
  "lattice_angstrom": [[-2.374, 2.374, 6.513], [2.374, -2.374, 6.513], [2.374, 2.374, -6.513]],
  "species": ["Ti", "Ti", "Au", "Au", "Au", "Au", "C", "C"],
  "fractional_positions": [[0.000, 0.000, 0.000], [0.750, 0.250, 0.500], [0.227, 0.625, 0.102], [0.375, 0.477, 0.602], [0.523, 0.125, 0.898], [0.875, 0.773, 0.398], [0.250, 0.750, 0.500], [0.500, 0.500, 0.000]]
}